1.
## Y2ZnCoTe (GGA-PBE)

Data for an optimized crystal structure of Y2ZnCoTe.

Results
ΔE_f (raw): -0.19 eV/atom
total energy: -5.080 eV/atom
SG: P4/mmm, No. 123
mass density: 5.66 Mg/m³

Cell: 5.1465 4.7575 5.1465 Å, 90.00 90.00 90.00°
Last column: nearest neighbours and their distance in Å.
Fractional positions:
Y: 0.0000 0.0000 0.5000  2 Co 2.57
Y: 0.5000 0.0000 0.0000  2 Co 2.57
Te: 0.0000 0.5000 0.0000  2 Co 2.38
Zn: 0.5000 0.5000 0.5000  8 Y 3.50, 4 Te 3.64
Co: 0.0000 0.0000 0.0000  2 Te 2.38, 4 Y 2.57



2.
## Zn2CoTe (GGA-PBE)

Data for an optimized crystal structure of Zn2CoTe.

Results
ΔE_f (raw): 0.13 eV/atom
total energy: -3.065 eV/atom
SG: Pm, No. 6
mass density: 7.31 Mg/m³

Cell: 3.5530 3.0971 7.2359 Å, 64.91 90.00 90.00°
Last column: nearest neighbours and their distance in Å.
Fractional positions:
Zn: 0.0000 0.0628 0.0621  1 Co 2.39
Zn: 0.5000 0.3250 0.2987  4 Co 2.50
Te: 0.5000 0.4151 0.7118  2 Co 2.57
Co: 0.0000 0.6970 0.4275  5 Zn 2.39-2.50, 2 Te 2.57